Entry 1:
10
Lattice="8.4022 0.0000 0.0000 0.0000 8.4022 0.0000 0.0000 0.0000 3.8786" Properties=species:S:1:pos:R:3 comment="PrSm2Au2 | Alexandria | PBE | relaxed" formation_energy_ev_per_atom=-0.65 pbc="T T T"
Pr 0.0000 0.0000 0.0000
Pr 4.2011 4.2011 0.0000
Sm 1.3749 2.8262 1.9393
Sm 2.8262 7.0273 1.9393
Sm 5.5760 1.3749 1.9393
Sm 7.0273 5.5760 1.9393
Au 1.0792 5.2803 0.0000
Au 3.1219 1.0792 0.0000
Au 5.2803 7.3230 0.0000
Au 7.3230 3.1219 0.0000



Entry 2:
18
Lattice="2.3223 -10.3970 0.0000 2.3223 10.3970 0.0000 0.0000 0.0000 14.3181" Properties=species:S:1:pos:R:3 comment="Ba2PrInTe5 | Alexandria | PBE | relaxed" e_form_raw_mev_per_atom=-1312 pbc="T T T"
Ba 2.3223 7.9396 7.1590
Ba 2.3223 7.7446 1.9306
Ba 2.3223 -7.7446 9.0896
Ba 2.3223 -7.9396 0.0000
Pr 2.3223 6.0322 11.9702
Pr 2.3223 -6.0322 4.8112
In 2.3223 1.1962 3.6556
In 2.3223 -1.1962 10.8146
Te 2.3223 9.3958 12.4978
Te 2.3223 4.3350 6.9577
Te 2.3223 3.9060 2.5511
Te 2.3223 2.9363 11.7365
Te 2.3223 0.0641 8.3400
Te 2.3223 -0.0641 1.1810
Te 2.3223 -2.9363 4.5775
Te 2.3223 -3.9060 9.7101
Te 2.3223 -4.3350 14.1167
Te 2.3223 -9.3958 5.3388



Entry 3:
4
Lattice="1.6779 0.9687 10.4893 -1.6779 0.9687 10.4893 0.0000 -1.9375 10.4893" Properties=species:S:1:pos:R:3 comment="BaTl2Re | Alexandria | PBE | relaxed" formation_energy_ev_per_atom=0.81 e_above_lowest_polymorph_mev_per_atom=228 pbc="T T T"
Ba 0.0000 0.0000 0.0000
Tl 0.0000 0.0000 7.4383
Tl 0.0000 0.0000 24.0297
Re 0.0000 0.0000 15.7340



Entry 4:
8
Lattice="7.3717 0.0000 0.0000 0.0000 4.2647 0.0000 -2.4563 0.0000 6.9955" Properties=species:S:1:pos:R:3 comment="La2NdPaAs4 | Alexandria | PBE | relaxed" formation_energy_ev_per_atom=-1.43 pbc="T T T"
La 0.0000 0.0000 0.0000
La 3.6859 2.1324 0.0000
Nd -1.2282 2.1324 3.4978
Pa 2.4577 0.0000 3.4978
As 0.0780 0.0000 5.1620
As 1.2873 2.1324 1.8654
As 3.6281 2.1324 5.1301
As 4.8374 0.0000 1.8335



Entry 5:
5
Lattice="4.6483 0.0000 0.0000 0.0000 4.6483 0.0000 0.0000 0.0000 4.9326" Properties=species:S:1:pos:R:3 comment="FeMoS2Cl | Alexandria | PBE | relaxed" e_above_lowest_polymorph_mev_per_atom=0 e_form_raw_mev_per_atom=410 pbc="T T T"
Fe 0.0000 0.0000 0.0000
Mo 2.3241 2.3241 2.4663
S 0.0000 2.3241 2.4663
S 2.3241 0.0000 2.4663
Cl 2.3241 2.3241 0.0000



Entry 6:
4
Lattice="0.0000 3.4968 3.4968 3.4968 0.0000 3.4968 3.4968 3.4968 0.0000" Properties=species:S:1:pos:R:3 comment="ScTlCdAg | Alexandria | PBE | relaxed" formation_energy_ev_per_atom=-0.13 pbc="T T T"
Sc 0.0000 0.0000 0.0000
Tl 5.2452 5.2452 5.2452
Cd 3.4968 3.4968 3.4968
Ag 1.7484 1.7484 1.7484



Entry 7:
6
Lattice="0.0000 3.9082 3.9082 3.9082 0.0000 3.9082 3.9082 3.9082 0.0000" Properties=species:S:1:pos:R:3 comment="CeDyMo4 | Alexandria | PBE | relaxed" formation_energy_ev_per_atom=0.14 pbc="T T T"
Ce 0.0000 0.0000 0.0000
Dy 5.8624 5.8624 5.8624
Mo 2.9298 2.9298 2.9298
Mo 4.8867 4.8867 2.9298
Mo 4.8867 2.9298 4.8867
Mo 2.9298 4.8867 4.8867



no.,ρ (Mg/m³)
1,10.1
2,5.6
3,11.9
4,7.2
5,3.9
6,9.1
7,9.5